DFT (GGA-PBE) results for an optimized crystal structure of Y3Mg2Cu2.

Cell and atoms, written as POSCAR:
```
Y3Mg2Cu2
1.0
-4.032 6.698 -3.449
-5.680 3.760 -5.160
-9.310 1.697 6.060
Y Mg Cu
6 4 4
Direct
0.876 0.876 0.181
0.124 0.124 0.819
0.790 0.790 0.872
0.210 0.210 0.128
0.575 0.575 0.580
0.425 0.425 0.420
0.768 0.768 0.602
0.232 0.232 0.398
0.556 0.556 0.088
0.444 0.444 0.912
0.035 0.035 0.273
0.965 0.965 0.727
0.625 0.625 0.313
0.375 0.375 0.687
```

Computed properties:
Symmetry: C2/m (12)
Energy of formation from the pure elements in kJ/mol of atoms: -6
Raw total energy in Ry per atom: -0.328

DFT (GGA-PBE) results for an optimized crystal structure of Y2MgCu2.

Cell and atoms, written as POSCAR:
```
Y2MgCu2
1.0
1.846 7.683 -0.067
-1.846 7.683 -0.067
0.000 1.181 7.796
Y Mg Cu
4 2 4
Direct
0.325 0.325 0.449
0.725 0.725 0.830
0.457 0.457 0.771
0.549 0.549 0.205
0.118 0.118 0.551
0.871 0.871 0.108
0.078 0.078 0.917
0.957 0.957 0.471
0.212 0.212 0.126
0.708 0.708 0.342
```

Computed properties:
Symmetry: Cm (8)
Energy of formation from the pure elements in kJ/mol of atoms: -15
Raw total energy in Ry per atom: -0.345

DFT (GGA-PBE) results for an optimized crystal structure of Y3Mg2Cu.

Cell and atoms, written as POSCAR:
```
Y3Mg2Cu
1.0
5.295 0.000 0.000
-2.647 4.586 0.000
0.000 0.000 12.451
Y Mg Cu
6 4 2
Direct
0.667 0.333 0.124
0.333 0.667 0.624
0.333 0.667 0.876
0.667 0.333 0.376
0.000 0.000 0.000
0.000 0.000 0.500
0.667 0.333 0.635
0.333 0.667 0.135
0.333 0.667 0.365
0.667 0.333 0.865
0.000 0.000 0.250
0.000 0.000 0.750
```

Computed properties:
Symmetry: P6_3/mmc (194)
Energy of formation from the pure elements in kJ/mol of atoms: 12
Raw total energy in Ry per atom: -0.317

DFT (GGA-PBE) results for an optimized crystal structure of Y2MgCu2.

Cell and atoms, written as POSCAR:
```
Y2MgCu2
1.0
-4.065 7.039 1.339
-6.496 -2.971 -4.103
-1.214 -1.237 2.818
Y Mg Cu
4 2 4
Direct
0.348 0.848 0.000
0.848 0.652 0.000
0.652 0.152 0.000
0.152 0.348 0.000
0.000 0.000 0.000
0.500 0.500 0.000
0.137 0.637 0.500
0.637 0.863 0.500
0.863 0.363 0.500
0.363 0.137 0.500
```

Computed properties:
Symmetry: P4/mbm (127)
Energy of formation from the pure elements in kJ/mol of atoms: 3
Raw total energy in Ry per atom: -0.332

DFT (GGA-PBE) results for an optimized crystal structure of Y2Mg2Cu.

Cell and atoms, written as POSCAR:
```
Y2Mg2Cu
1.0
1.999 -3.462 0.000
1.999 3.462 0.000
0.000 0.000 9.316
Y Mg Cu
2 2 1
Direct
0.333 0.667 0.643
0.667 0.333 0.357
0.333 0.667 0.118
0.667 0.333 0.882
0.000 0.000 0.000
```

Computed properties:
Symmetry: P-3m1 (164)
Energy of formation from the pure elements in kJ/mol of atoms: 12
Raw total energy in Ry per atom: -0.288

DFT (GGA-PBE) results for an optimized crystal structure of Y2MgCu.

Cell and atoms, written as POSCAR:
```
Y2MgCu
1.0
4.545 0.000 0.000
0.000 3.701 0.040
0.000 1.794 5.920
Cu Mg Y
1 1 2
Direct
0.000 0.697 0.481
0.500 0.562 0.751
0.000 0.961 0.954
0.500 0.281 0.314
```

Computed properties:
Symmetry: Pm (6)
Energy of formation from the pure elements in kJ/mol of atoms: -4
Raw total energy in Ry per atom: -0.345